Material: BaBeInCl2
Method: DFT, PBE
State: relaxed

Summary:
Formation energy (no corrections)   -376.7 meV per atom
Space-group type   P4/mmm (123)

a = 5.8681 Å, b = 6.6571 Å, c = 5.8681 Å
α = 90.00°, β = 90.00°, γ = 90.00°
Last column: nearest neighbours and their distance in Å.
Positions (direct):
Cl 0.5000 0.0000 0.0000  2 Ba 2.93
Cl 0.0000 0.0000 0.5000  2 Ba 2.93
Ba 0.0000 0.0000 0.0000  4 Cl 2.93
Be 0.0000 0.5000 0.0000  2 Ba 3.33
In 0.5000 0.5000 0.5000  4 Be 4.15, 8 Cl 4.44


Material: KLiMg14O15
Method: DFT, PBE
State: relaxed

Summary:
Formation energy (no corrections)   -2410.0 meV per atom
Space-group type   Pmm2 (25)
Offset from the most stable computed form   0.000 eV/atom

a = 4.3713 Å, b = 8.3908 Å, c = 8.7946 Å
α = 90.00°, β = 90.00°, γ = 90.00°
Last column: nearest neighbours and their distance in Å.
Positions (direct):
O 0.5000 0.5120 0.0000  5 Mg 1.99-2.23
Mg 0.0000 0.4778 0.0000  3 O 1.92-2.02
Mg 0.5000 0.7494 0.5000  4 O 2.02-2.19
O 0.0000 0.2489 0.0000  1 Mg 1.92
Mg 0.5000 0.5024 0.7470  6 O 2.08-2.23
O 0.0000 0.9971 0.2709  5 Mg 2.02-2.19
Mg 0.0000 0.2484 0.2505  6 O 2.12-2.26
O 0.5000 0.9969 0.0000  4 Mg 2.02-2.24, 2 K 2.24
Mg 0.5000 0.5024 0.2530  6 O 2.08-2.23
Mg 0.5000 0.2615 0.5000  6 O 2.07-2.21
O 0.0000 0.9971 0.7291  5 Mg 2.02-2.19
Mg 0.0000 0.7500 0.2826  3 O 1.91-2.08
O 0.5000 0.2546 0.2485  6 Mg 2.08-2.21
Mg 0.5000 0.7491 0.0000  4 O 1.99-2.09
O 0.0000 0.7522 0.5000  2 Mg 1.91
K 0.0000 0.9368 0.0000  4 O 2.24-2.44
Mg 0.5000 0.2379 0.0000  5 O 2.02-2.19
Mg 0.0000 0.2484 0.7495  6 O 2.12-2.26
O 0.0000 0.5168 0.7729  4 Mg 2.02-2.20
Li 0.0000 0.4950 0.5000  4 O 2.01-2.19
Mg 0.5000 0.0055 0.2542  6 O 2.09-2.24
Mg 0.5000 0.0055 0.7458  6 O 2.09-2.24
O 0.0000 0.5168 0.2271  4 Mg 2.02-2.20
Mg 0.0000 0.0101 0.5000  6 O 2.02-2.19
O 0.5000 0.7545 0.7620  6 Mg 2.09-2.30
O 0.5000 0.7545 0.2380  6 Mg 2.09-2.30
Mg 0.0000 0.7500 0.7174  3 O 1.91-2.08
O 0.5000 0.5081 0.5000  4 Mg 2.02-2.17, 2 Li 2.19
O 0.5000 0.2546 0.7515  6 Mg 2.08-2.21
O 0.0000 0.2555 0.5000  1 Li 2.01, 5 Mg 2.06-2.20
O 0.5000 0.0000 0.5000  6 Mg 2.10-2.19


Material: SmTl2Sn
Method: DFT, PBE
State: relaxed

Summary:
Space-group type   R-3m (166)
Offset from the most stable computed form   0.450 eV/atom
Formation enthalpy at 0 K   9.0 kJ per mole of atoms

a = 3.5720 Å, b = 3.5720 Å, c = 11.6775 Å
α = 81.20°, β = 81.20°, γ = 60.00°
Last column: nearest neighbours and their distance in Å.
Positions (direct):
Sn 0.5000 0.5000 0.5000  6 Tl 3.30, 6 Sn 3.57
Tl 0.0920 0.0920 0.7239  1 Sm 3.17, 3 Sn 3.30
Sm 0.0000 0.0000 0.0000  2 Tl 3.17
Tl 0.9080 0.9080 0.2761  1 Sm 3.17, 3 Sn 3.30


Material: Th2TaS2Br4
Method: DFT, PBE
State: relaxed

Summary:
Formation energy (no corrections)   -760.5 meV per atom
Space-group type   P3m1 (156)

a = 3.7538 Å, b = 3.7538 Å, c = 22.6331 Å
α = 90.00°, β = 90.00°, γ = 120.00°
Last column: nearest neighbours and their distance in Å.
Positions (direct):
Br 0.0000 0.0000 0.6661  3 Th 3.08
Br 0.6667 0.3333 0.0414  1 S 2.31
S 0.6667 0.3333 0.1437  1 Br 2.31
Ta 0.0000 0.0000 0.3696  1 Br 2.43, 3 S 2.49
Br 0.6667 0.3333 0.8807  1 Th 2.68
Th 0.0000 0.0000 0.2211  6 S 2.79-3.04
Br 0.0000 0.0000 0.4770  1 Ta 2.43
Th 0.6667 0.3333 0.7624  1 Br 2.68
S 0.6667 0.3333 0.3153  3 Ta 2.49


Material: SrSiRu
Method: DFT, PBE
State: relaxed

Summary:
Formation energy (no corrections)   -363.9 meV per atom
Space-group type   P-6m2 (187)

a = 4.0637 Å, b = 4.0637 Å, c = 4.8373 Å
α = 90.00°, β = 90.00°, γ = 120.00°
Last column: nearest neighbours and their distance in Å.
Positions (direct):
Si 0.6667 0.3333 0.1668  3 Ru 2.35
Sr 0.3333 0.6667 0.6667  6 Si 3.37, 6 Ru 3.37
Ru 0.0000 0.0000 0.1665  3 Si 2.35


Material: Pu2HgI
Method: DFT, PBE
State: relaxed

Summary:
Formation energy (no corrections)   -279.3 meV per atom
Space-group type   P4/mmm (123)
Offset from the most stable computed form   0.000 eV/atom

a = 3.6444 Å, b = 3.6444 Å, c = 8.3786 Å
α = 90.00°, β = 90.00°, γ = 90.00°
Last column: nearest neighbours and their distance in Å.
Positions (direct):
Hg 0.5000 0.5000 0.0000  8 Pu 3.26, 4 Hg 3.64
Pu 0.0000 0.0000 0.2391  4 Hg 3.26, 4 I 3.38, 4 Pu 3.64
I 0.5000 0.5000 0.5000  8 Pu 3.38, 4 I 3.64
Pu 0.0000 0.0000 0.7609  4 Hg 3.26, 4 I 3.38, 4 Pu 3.64


Material: Li2TiPd3
Method: DFT, PBE
State: relaxed

Summary:
Space-group type   P4/mmm (123)
Offset from the most stable computed form   0.020 eV/atom
Formation enthalpy at 0 K   -50.4 kJ per mole of atoms

a = 3.1304 Å, b = 3.1304 Å, c = 8.8071 Å
α = 90.00°, β = 90.00°, γ = 90.00°
Last column: nearest neighbours and their distance in Å.
Positions (direct):
Li 0.5000 0.5000 0.1544  8 Pd 2.60-2.70, 1 Li 2.72
Pd 0.0000 0.0000 0.0000  8 Li 2.60, 2 Pd 2.90
Li 0.5000 0.5000 0.8456  8 Pd 2.60-2.70, 1 Li 2.72
Pd 0.0000 0.0000 0.6703  4 Ti 2.67, 4 Li 2.70, 1 Pd 2.90
Ti 0.5000 0.5000 0.5000  8 Pd 2.67
Pd 0.0000 0.0000 0.3297  4 Ti 2.67, 4 Li 2.70, 1 Pd 2.90


Material: Hf2AlBr
Method: DFT, PBE
State: relaxed

Summary:
Formation energy (no corrections)   89.9 meV per atom
Space-group type   Fm-3m (225)
Offset from the most stable computed form   0.000 eV/atom

a = 4.8583 Å, b = 4.8583 Å, c = 4.8583 Å
α = 60.00°, β = 60.00°, γ = 60.00°
Last column: nearest neighbours and their distance in Å.
Positions (direct):
Br 0.5000 0.5000 0.5000  8 Hf 2.98
Hf 0.7500 0.7500 0.7500  4 Al 2.98, 4 Br 2.98
Al 0.0000 0.0000 0.0000  8 Hf 2.98
Hf 0.2500 0.2500 0.2500  4 Br 2.98, 4 Al 2.98